Computed, not measured: a crystal of MnRu2Br relaxed with PBEsol at the meta-GGA SCAN level of DFT.

Unit cell a=3.003 b=4.343 c=4.343 alpha=90.00 beta=90.00 gamma=90.00
Atoms (fractional coordinates):
Br 0.500 0.500 0.500
Mn 0.500 0.000 0.000
Ru 0.000 0.000 0.500
Ru 0.000 0.500 0.000

Results
uncorrected formation energy: 0.67 eV/atom
DOS at the Fermi energy: 3.39 states/eV/cell
total moment: 4.250 Bohr magnetons per cell
space-group type: No. 123
distance to the lowest polymorph of the same formula: 0 meV/atom
E_tot: -26.176 eV per atom

---

Computed, not measured: a crystal of CrNiAs relaxed with PBEsol at the meta-GGA SCAN level of DFT.

Unit cell a=3.585 b=6.083 c=6.083 alpha=120.00 beta=90.00 gamma=90.00
Atoms (fractional coordinates):
Cr 0.500 0.592 0.000
Cr 0.500 0.408 0.408
Cr 0.500 0.000 0.592
Ni 0.000 0.253 0.000
Ni 0.000 0.000 0.253
Ni 0.000 0.747 0.747
As 0.000 0.333 0.667
As 0.000 0.667 0.333
As 0.500 0.000 0.000

Results
formation enthalpy at 0 K: -0.41 eV per atom
DOS at the Fermi energy: 3.06 states/eV/cell
total moment: 9.339 Bohr magnetons per cell
space-group type: No. 189
E_tot: -18.657 eV per atom

---

Computed, not measured: a crystal of ScAg2Pb relaxed with PBEsol at the meta-GGA SCAN level of DFT.

Unit cell a=3.270 b=5.123 c=5.182 alpha=99.19 beta=108.39 gamma=90.00
Atoms (fractional coordinates):
Pb 0.500 0.000 0.000
Sc 0.000 0.500 0.000
Ag 0.257 0.273 0.513
Ag 0.743 0.727 0.487

Results
formation enthalpy at 0 K: -0.19 eV per atom
DOS at the Fermi energy: 1.74 states/eV/cell
total moment: 0.003 Bohr magnetons per cell
space-group type: No. 12
E_tot: -38.382 eV per atom

---

Computed, not measured: a crystal of La2SiOs relaxed with PBEsol at the meta-GGA SCAN level of DFT.

Unit cell a=4.182 b=4.182 c=7.835 alpha=90.43 beta=105.16 gamma=119.73
Atoms (fractional coordinates):
Si 0.416 0.208 0.625
Os 0.082 0.543 0.625
La 0.917 0.960 0.877
La 0.584 0.789 0.373

Results
uncorrected formation energy: -0.54 eV/atom
DOS at the Fermi energy: 3.56 states/eV/cell
total moment: 0.034 Bohr magnetons per cell
space-group type: No. 8
E_tot: -42.566 eV per atom

---

Computed, not measured: a crystal of Ca2MgZr relaxed with PBEsol at the meta-GGA SCAN level of DFT.

Unit cell a=5.415 b=5.415 c=5.415 alpha=60.00 beta=60.00 gamma=60.00
Atoms (fractional coordinates):
Ca 0.000 0.000 0.000
Ca 0.750 0.750 0.750
Mg 0.500 0.500 0.500
Zr 0.250 0.250 0.250

Results
formation enthalpy at 0 K: 0.37 eV per atom
DOS at the Fermi energy: 4.66 states/eV/cell
total moment: 0.000 Bohr magnetons per cell
space-group type: No. 216
E_tot: -13.384 eV per atom

---

Computed, not measured: a crystal of TlFe2Se2 relaxed with PBEsol at the meta-GGA SCAN level of DFT.

Unit cell a=3.768 b=3.768 c=7.056 alpha=105.49 beta=105.49 gamma=90.00
Atoms (fractional coordinates):
Tl 0.000 0.000 0.000
Fe 0.750 0.250 0.500
Fe 0.250 0.750 0.500
Se 0.348 0.348 0.697
Se 0.652 0.652 0.303

Results
uncorrected formation energy: -0.05 eV/atom
DOS at the Fermi energy: 1.59 states/eV/cell
total moment: 0.000 Bohr magnetons per cell
space-group type: No. 139
distance to the lowest polymorph of the same formula: 0 meV/atom
E_tot: -29.801 eV per atom

---

Computed, not measured: a crystal of La3B6Ru8 relaxed with PBEsol at the meta-GGA SCAN level of DFT.

Unit cell a=5.512 b=5.582 c=9.124 alpha=81.42 beta=72.42 gamma=60.41
Atoms (fractional coordinates):
La 0.000 0.000 0.000
La 0.819 0.000 0.362
La 0.181 0.000 0.638
B 0.670 0.660 0.000
B 0.330 0.340 0.000
B 0.167 0.323 0.343
B 0.490 0.677 0.343
B 0.833 0.677 0.657
B 0.510 0.323 0.657
Ru 0.414 0.500 0.173
Ru 0.415 0.000 0.171
Ru 0.585 0.000 0.829
Ru 0.750 0.500 0.500
Ru 0.250 0.500 0.500
Ru 0.586 0.500 0.827
Ru 0.086 0.500 0.827
Ru 0.914 0.500 0.173

Results
formation enthalpy at 0 K: -0.50 eV per atom
DOS at the Fermi energy: 13.05 states/eV/cell
total moment: 0.000 Bohr magnetons per cell
space-group type: No. 69
E_tot: -27.120 eV per atom

---

Computed, not measured: a crystal of TaTcP2Cl relaxed with PBEsol at the meta-GGA SCAN level of DFT.

Unit cell a=4.500 b=4.500 c=4.638 alpha=90.00 beta=90.00 gamma=90.00
Atoms (fractional coordinates):
P 0.000 0.500 0.000
P 0.500 0.000 0.000
Cl 0.000 0.000 0.500
Tc 0.000 0.000 0.000
Ta 0.500 0.500 0.500

Results
uncorrected formation energy: 1.00 eV/atom
DOS at the Fermi energy: 3.73 states/eV/cell
total moment: 3.032 Bohr magnetons per cell
space-group type: No. 123
E_tot: -25.086 eV per atom

---

Computed, not measured: a crystal of Rb2NaPrF6 relaxed with PBEsol at the meta-GGA SCAN level of DFT.

Unit cell a=6.394 b=6.394 c=6.394 alpha=60.00 beta=60.00 gamma=60.00
Atoms (fractional coordinates):
Pr 0.000 0.000 0.000
Na 0.500 0.500 0.500
Rb 0.250 0.250 0.250
Rb 0.750 0.750 0.750
F 0.251 0.749 0.251
F 0.251 0.251 0.749
F 0.749 0.749 0.251
F 0.251 0.749 0.749
F 0.749 0.251 0.749
F 0.749 0.251 0.251

Results
uncorrected formation energy: -3.44 eV/atom
DOS at the Fermi energy: 0.00 states/eV/cell
total moment: 0.202 Bohr magnetons per cell
space-group type: No. 225
E_tot: -14.467 eV per atom

---

Computed, not measured: a crystal of LaCd2Si relaxed with PBEsol at the meta-GGA SCAN level of DFT.

Unit cell a=2.993 b=5.453 c=6.403 alpha=114.43 beta=102.21 gamma=92.98
Atoms (fractional coordinates):
Cd 0.000 0.000 0.500
Cd 0.500 0.500 0.500
La 0.500 0.000 0.000
Si 0.000 0.500 0.000

Results
uncorrected formation energy: -0.03 eV/atom
DOS at the Fermi energy: 2.22 states/eV/cell
total moment: 0.001 Bohr magnetons per cell
space-group type: No. 12
E_tot: -28.519 eV per atom

---

Computed, not measured: a crystal of RbSeO2 relaxed with PBEsol at the meta-GGA SCAN level of DFT.

Unit cell a=3.460 b=3.460 c=7.226 alpha=76.15 beta=76.15 gamma=60.00
Atoms (fractional coordinates):
O 0.877 0.877 0.368
O 0.123 0.123 0.632
Se 0.500 0.500 0.500
Rb 0.000 0.000 0.000

Results
uncorrected formation energy: -0.35 eV/atom
DOS at the Fermi energy: 1.22 states/eV/cell
total moment: 0.000 Bohr magnetons per cell
space-group type: No. 166
E_tot: -13.668 eV per atom

---

Computed, not measured: a crystal of Sc2Pt2Pb relaxed with PBEsol at the meta-GGA SCAN level of DFT.

Unit cell a=3.796 b=3.796 c=7.841 alpha=104.01 beta=104.01 gamma=90.00
Atoms (fractional coordinates):
Pb 0.000 0.000 0.000
Sc 0.378 0.378 0.755
Sc 0.622 0.622 0.245
Pt 0.250 0.750 0.500
Pt 0.750 0.250 0.500

Results
formation enthalpy at 0 K: -0.90 eV per atom
DOS at the Fermi energy: 2.08 states/eV/cell
total moment: 0.000 Bohr magnetons per cell
space-group type: No. 139
E_tot: -49.825 eV per atom

---

- total moment of number 11 (RbSeO2)?
  0.000 Bohr magnetons per cell

---

- Number 1 is which compound?
  MnRu2Br

---

Repeat the seventh record exactly.
Computed, not measured: a crystal of La3B6Ru8 relaxed with PBEsol at the meta-GGA SCAN level of DFT.

Unit cell a=5.512 b=5.582 c=9.124 alpha=81.42 beta=72.42 gamma=60.41
Atoms (fractional coordinates):
La 0.000 0.000 0.000
La 0.819 0.000 0.362
La 0.181 0.000 0.638
B 0.670 0.660 0.000
B 0.330 0.340 0.000
B 0.167 0.323 0.343
B 0.490 0.677 0.343
B 0.833 0.677 0.657
B 0.510 0.323 0.657
Ru 0.414 0.500 0.173
Ru 0.415 0.000 0.171
Ru 0.585 0.000 0.829
Ru 0.750 0.500 0.500
Ru 0.250 0.500 0.500
Ru 0.586 0.500 0.827
Ru 0.086 0.500 0.827
Ru 0.914 0.500 0.173

Results
formation enthalpy at 0 K: -0.50 eV per atom
DOS at the Fermi energy: 13.05 states/eV/cell
total moment: 0.000 Bohr magnetons per cell
space-group type: No. 69
E_tot: -27.120 eV per atom

---

- total moment of number 5 (Ca2MgZr)?
  0.000 Bohr magnetons per cell